No. 1
PBE K2LaNpS4, optimized geometry; E = -0.457 Ry/atom
1.0
7.297 0.000 0.000
0.000 4.201 0.000
-2.443 0.000 7.363
K La Np S
2 1 1 4
Cartesian
0.000 0.000 0.000
3.649 2.101 0.000
-1.221 2.101 3.682
2.427 0.000 3.682
0.051 0.000 5.211
1.282 2.101 2.196
3.573 2.101 5.168
4.804 0.000 2.152


No. 2
PBE Sr2MgAl12Ir3, optimized geometry; DFT formation energy = -0.030 eV per atom; E = -0.314 Ry/atom
1.0
4.660 2.691 6.099
-4.660 2.691 6.099
0.000 -5.381 6.099
Sr Mg Al Ir
2 1 12 3
Cartesian
0.000 0.000 1.924
0.000 0.000 16.374
0.000 0.000 9.149
-2.284 -1.319 8.516
0.000 -1.856 6.550
-1.607 0.928 6.550
0.000 -2.638 9.781
-2.284 1.319 9.781
-1.607 -0.928 11.748
1.607 0.928 6.550
2.284 -1.319 8.516
0.000 2.638 8.516
1.607 -0.928 11.748
0.000 1.856 11.748
2.284 1.319 9.781
-2.330 -1.345 6.099
-2.330 1.345 12.198
0.000 2.691 6.099


No. 3
PBE Hf3Pd2N, optimized geometry; E = -0.667 Ry/atom
1.0
4.553 0.000 0.000
0.000 3.210 0.000
-2.269 0.000 6.695
Hf Pd N
3 2 1
Cartesian
0.000 0.000 0.000
0.007 1.605 5.094
2.277 1.605 1.600
0.003 0.000 2.615
2.281 0.000 4.079
2.277 0.000 0.000


No. 4
PBE CrAs2, optimized geometry; DFT formation energy = -0.002 eV per atom; E = -0.464 Ry/atom
1.0
4.450 -1.516 0.000
4.450 1.516 0.000
-0.491 0.000 7.725
Cr As
2 4
Cartesian
0.455 0.000 2.646
7.954 0.000 5.079
2.975 0.000 3.035
2.929 0.000 7.021
5.480 0.000 0.704
5.434 0.000 4.690